This record from Alexandria describes an optimized crystal structure of Rb2BaYPb. The functional is PBE-GGA.

Geometry as CIF:
```
data_Rb2BaYPb
_chemical_formula_sum 'Rb2 Ba1 Y1 Pb1'
_symmetry_space_group_name_H-M 'P 4/m m m'
_symmetry_Int_Tables_number 123
_symmetry_space_group_name_Hall '-P 4 2'
_cell_length_a 6.9756
_cell_length_b 6.9756
_cell_length_c 5.9954
_cell_angle_alpha 90.00
_cell_angle_beta 90.00
_cell_angle_gamma 90.00
loop_
_atom_site_label
_atom_site_type_symbol
_atom_site_fract_x
_atom_site_fract_y
_atom_site_fract_z
Rb1 Rb 0.0000 0.5000 0.0000
Ba1 Ba 0.0000 0.0000 0.5000
Y1 Y 0.5000 0.5000 0.0000
Pb1 Pb 0.5000 0.5000 0.5000
```

Output
The value obtained for the theoretical density is 3.44 Mg/m³.

This record from Alexandria describes an optimized crystal structure of BaRe4Pb. The functional is PBE-GGA.

Geometry as CIF:
```
data_BaRe4Pb
_chemical_formula_sum 'Ba4 Re16 Pb4'
_symmetry_space_group_name_H-M 'F -4 3 m'
_symmetry_Int_Tables_number 216
_symmetry_space_group_name_Hall 'F -4 2 3'
_cell_length_a 7.8399
_cell_length_b 7.8399
_cell_length_c 7.8399
_cell_angle_alpha 90.00
_cell_angle_beta 90.00
_cell_angle_gamma 90.00
loop_
_atom_site_label
_atom_site_type_symbol
_atom_site_fract_x
_atom_site_fract_y
_atom_site_fract_z
Ba1 Ba 0.0000 0.0000 0.0000
Re1 Re 0.1237 0.1237 0.3763
Pb1 Pb 0.2500 0.2500 0.7500
```

Output
The value obtained for the theoretical density is 15.02 Mg/m³.

This record from Alexandria describes an optimized crystal structure of BaRe2Pb. The functional is PBE-GGA.

Geometry as CIF:
```
data_BaRe2Pb
_chemical_formula_sum 'Ba1 Re2 Pb1'
_symmetry_space_group_name_H-M 'P 4/m m m'
_symmetry_Int_Tables_number 123
_symmetry_space_group_name_Hall '-P 4 2'
_cell_length_a 3.0812
_cell_length_b 3.0812
_cell_length_c 9.5441
_cell_angle_alpha 90.00
_cell_angle_beta 90.00
_cell_angle_gamma 90.00
loop_
_atom_site_label
_atom_site_type_symbol
_atom_site_fract_x
_atom_site_fract_y
_atom_site_fract_z
Ba1 Ba 0.0000 0.0000 0.0000
Re1 Re 0.5000 0.5000 0.2853
Pb1 Pb 0.0000 0.0000 0.5000
```

Output
The value obtained for the theoretical density is 13.14 Mg/m³.

This record from Alexandria describes an optimized crystal structure of BaRe2Pb. The functional is PBE-GGA.

Geometry as CIF:
```
data_BaRe2Pb
_chemical_formula_sum 'Ba1 Re2 Pb1'
_symmetry_space_group_name_H-M 'P 4/m m m'
_symmetry_Int_Tables_number 123
_symmetry_space_group_name_Hall '-P 4 2'
_cell_length_a 4.5837
_cell_length_b 4.5837
_cell_length_c 4.2931
_cell_angle_alpha 90.00
_cell_angle_beta 90.00
_cell_angle_gamma 90.00
loop_
_atom_site_label
_atom_site_type_symbol
_atom_site_fract_x
_atom_site_fract_y
_atom_site_fract_z
Ba1 Ba 0.0000 0.0000 0.0000
Re1 Re 0.0000 0.5000 0.5000
Pb1 Pb 0.5000 0.5000 0.0000
```

Output
The value obtained for the theoretical density is 13.20 Mg/m³.

This record from Alexandria describes an optimized crystal structure of BaRe2Pb. The functional is PBE-GGA.

Geometry as CIF:
```
data_BaRe2Pb
_chemical_formula_sum 'Ba1 Re2 Pb1'
_symmetry_space_group_name_H-M 'P m m m'
_symmetry_Int_Tables_number 47
_symmetry_space_group_name_Hall '-P 2 2'
_cell_length_a 3.5430
_cell_length_b 4.9835
_cell_length_c 5.1812
_cell_angle_alpha 90.00
_cell_angle_beta 90.00
_cell_angle_gamma 90.00
loop_
_atom_site_label
_atom_site_type_symbol
_atom_site_fract_x
_atom_site_fract_y
_atom_site_fract_z
Ba1 Ba 0.0000 0.0000 0.0000
Re1 Re 0.0000 0.5000 0.5000
Re2 Re 0.5000 0.0000 0.5000
Pb1 Pb 0.5000 0.5000 0.0000
```

Output
The value obtained for the theoretical density is 13.01 Mg/m³.

This record from Alexandria describes an optimized crystal structure of BaRe2Pb. The functional is PBE-GGA.

Geometry as CIF:
```
data_BaRe2Pb
_chemical_formula_sum 'Ba3 Re6 Pb3'
_symmetry_space_group_name_H-M 'R -3 m'
_symmetry_Int_Tables_number 166
_symmetry_space_group_name_Hall '-R 3 2"'
_cell_length_a 3.1425
_cell_length_b 3.1425
_cell_length_c 30.7468
_cell_angle_alpha 90.00
_cell_angle_beta 90.00
_cell_angle_gamma 120.00
loop_
_atom_site_label
_atom_site_type_symbol
_atom_site_fract_x
_atom_site_fract_y
_atom_site_fract_z
Ba1 Ba 0.0000 0.0000 0.0000
Re1 Re 0.0000 0.0000 0.2378
Pb1 Pb 0.0000 0.0000 0.5000
```

Output
The value obtained for the theoretical density is 13.58 Mg/m³.

This record from Alexandria describes an optimized crystal structure of Ba3RePb. The functional is PBE-GGA.

Geometry as CIF:
```
data_Ba3RePb
_chemical_formula_sum 'Ba3 Re1 Pb1'
_symmetry_space_group_name_H-M 'P m -3 m'
_symmetry_Int_Tables_number 221
_symmetry_space_group_name_Hall '-P 4 2 3'
_cell_length_a 5.9142
_cell_length_b 5.9142
_cell_length_c 5.9142
_cell_angle_alpha 90.00
_cell_angle_beta 90.00
_cell_angle_gamma 90.00
loop_
_atom_site_label
_atom_site_type_symbol
_atom_site_fract_x
_atom_site_fract_y
_atom_site_fract_z
Ba1 Ba 0.0000 0.0000 0.5000
Re1 Re 0.0000 0.0000 0.0000
Pb1 Pb 0.5000 0.5000 0.5000
```

Output
The value obtained for the theoretical density is 6.46 Mg/m³.

This record from Alexandria describes an optimized crystal structure of BaRe2Pb. The functional is PBE-GGA.

Geometry as CIF:
```
data_BaRe2Pb
_chemical_formula_sum 'Ba2 Re4 Pb2'
_symmetry_space_group_name_H-M 'I m m 2'
_symmetry_Int_Tables_number 44
_symmetry_space_group_name_Hall 'I 2 -2'
_cell_length_a 3.7993
_cell_length_b 4.8586
_cell_length_c 12.5335
_cell_angle_alpha 90.00
_cell_angle_beta 90.00
_cell_angle_gamma 90.00
loop_
_atom_site_label
_atom_site_type_symbol
_atom_site_fract_x
_atom_site_fract_y
_atom_site_fract_z
Ba1 Ba 0.0000 0.0000 0.0000
Re1 Re 0.0000 0.0000 0.6137
Re2 Re 0.0000 0.5000 0.2252
Pb1 Pb 0.0000 0.5000 0.7650
```

Output
The value obtained for the theoretical density is 10.29 Mg/m³.

Size of the total moment values (in μB per formula unit) by entry order: 1.03, 0.00, 1.79, 2.86, 0.46, 0.00, 0.99, 0.00.
Raw total energy values (in eV per formula unit) by entry order: -11.8, -49.8, -24.1, -23.9, -23.8, -24.4, -19.2, -27.3.